5
Lattice="4.601 0.000 0.000 0.000 4.601 0.000 0.000 0.000 4.601" Properties=species:S:1:pos:R:3 comment="AlBiW3 | Alexandria via LeMat-Bulk | meta-GGA SCAN | PBEsol geometry" ef_kcal_per_mol_atoms=46.793 magnetic_moment_mub_per_fu=0.00 energy_ev_per_atom=-57.05 pbc="T T T"
Al 0.000 0.000 0.000
Bi 2.300 2.300 2.300
W 0.000 0.000 2.300
W 0.000 2.300 0.000
W 2.300 0.000 0.000



4
Lattice="2.685 0.000 0.000 0.000 3.614 0.000 0.000 0.000 5.278" Properties=species:S:1:pos:R:3 comment="BeIr2Rh | Alexandria via LeMat-Bulk | meta-GGA SCAN | PBEsol geometry" ef_kcal_per_mol_atoms=-3.002 magnetic_moment_mub_per_fu=0.00 energy_ev_per_atom=-45.21 pbc="T T T"
Be 0.000 0.000 0.000
Ir 1.343 1.807 1.262
Ir 1.343 1.807 4.017
Rh 0.000 0.000 2.639



4
Lattice="2.676 -5.264 0.000 2.676 5.264 0.000 -1.952 0.000 2.582" Properties=species:S:1:pos:R:3 comment="YTc2Br | Alexandria via LeMat-Bulk | meta-GGA SCAN | PBEsol geometry" magnetic_moment_mub_per_fu=0.00 e_above_lowest_polymorph_mev_per_atom=0 energy_ev_per_atom=-28.99 raw_formation_energy_kcal_per_mol_atoms=8.4 pbc="T T T"
Y 0.000 0.000 0.000
Tc 1.338 2.632 0.000
Tc 1.338 -2.632 0.000
Br 2.676 0.000 0.000



4
Lattice="2.046 1.181 7.753 -2.046 1.181 7.753 0.000 -2.362 7.753" Properties=species:S:1:pos:R:3 comment="SrMg2P | Alexandria via LeMat-Bulk | meta-GGA SCAN | PBEsol geometry" ef_kcal_per_mol_atoms=-7.592 magnetic_moment_mub_per_fu=0.00 energy_ev_per_atom=-10.98 pbc="T T T"
Sr 0.000 0.000 0.000
Mg 0.000 0.000 5.011
Mg 0.000 0.000 18.249
P 0.000 0.000 11.630



4
Lattice="3.136 0.000 0.000 0.000 5.369 0.000 0.000 0.000 5.552" Properties=species:S:1:pos:R:3 comment="CdIn | Alexandria via LeMat-Bulk | meta-GGA SCAN | PBEsol geometry" ef_kcal_per_mol_atoms=2.086 magnetic_moment_mub_per_fu=0.00 energy_ev_per_atom=-31.81 pbc="T T T"
Cd 0.784 1.342 0.471
Cd 2.352 4.027 5.082
In 0.784 4.027 2.272
In 2.352 1.342 3.280



5
Lattice="5.078 0.000 0.000 0.000 5.078 0.000 0.000 0.000 5.993" Properties=species:S:1:pos:R:3 comment="RbMnAl2Se | Alexandria via LeMat-Bulk | meta-GGA SCAN | PBEsol geometry" magnetic_moment_mub_per_fu=4.27 energy_ev_per_atom=-14.29 raw_formation_energy_kcal_per_mol_atoms=14.5 pbc="T T T"
Rb 0.000 0.000 0.000
Mn 2.539 2.539 0.000
Al 0.000 2.539 2.996
Al 2.539 0.000 2.996
Se 0.000 0.000 2.996



3
Lattice="3.779 0.000 0.000 -1.890 3.273 0.000 0.000 0.000 5.224" Properties=species:S:1:pos:R:3 comment="ZnSbSe | Alexandria via LeMat-Bulk | meta-GGA SCAN | PBEsol geometry" magnetic_moment_mub_per_fu=0.00 energy_ev_per_atom=-23.67 raw_formation_energy_kcal_per_mol_atoms=-1.2 pbc="T T T"
Zn 0.000 0.000 0.000
Sb 0.000 2.182 3.437
Se 1.890 1.091 1.340



5
Lattice="4.744 0.000 0.000 0.000 4.744 0.000 0.000 0.000 3.767" Properties=species:S:1:pos:R:3 comment="TcWS2N | Alexandria via LeMat-Bulk | meta-GGA SCAN | PBEsol geometry" magnetic_moment_mub_per_fu=4.55 energy_ev_per_atom=-26.13 raw_formation_energy_kcal_per_mol_atoms=12.1 pbc="T T T"
Tc 0.000 0.000 0.000
W 2.372 2.372 1.883
S 0.000 2.372 1.883
S 2.372 0.000 1.883
N 2.372 2.372 0.000



4
Lattice="1.346 -2.256 0.000 1.346 2.256 0.000 0.000 0.000 8.682" Properties=species:S:1:pos:R:3 comment="ZnCuRh2 | Alexandria via LeMat-Bulk | meta-GGA SCAN | PBEsol geometry" ef_kcal_per_mol_atoms=1.317 magnetic_moment_mub_per_fu=0.00 energy_ev_per_atom=-24.01 pbc="T T T"
Zn 0.000 0.000 0.000
Cu 1.346 0.000 6.598
Rh 0.000 0.000 4.434
Rh 1.346 0.000 2.163



4
Lattice="2.302 1.329 5.052 -2.302 1.329 5.052 0.000 -2.658 5.052" Properties=species:S:1:pos:R:3 comment="CaMg2Pt | Alexandria via LeMat-Bulk | meta-GGA SCAN | PBEsol geometry" ef_kcal_per_mol_atoms=-14.955 magnetic_moment_mub_per_fu=0.01 energy_ev_per_atom=-23.10 pbc="T T T"
Ca 0.000 0.000 0.000
Mg 0.000 0.000 3.116
Mg 0.000 0.000 7.036
Pt 0.000 0.000 12.229



4
Lattice="1.491 -2.657 0.000 1.491 2.657 0.000 0.000 0.000 6.049" Properties=species:S:1:pos:R:3 comment="TaWC2 | Alexandria via LeMat-Bulk | meta-GGA SCAN | PBEsol geometry" ef_kcal_per_mol_atoms=13.593 magnetic_moment_mub_per_fu=0.00 energy_ev_per_atom=-38.53 pbc="T T T"
Ta 0.000 0.000 0.000
W 0.000 0.000 3.024
C 1.491 0.000 1.542
C 1.491 0.000 4.507



4
Lattice="5.029 0.000 0.000 0.000 5.029 0.000 0.000 0.000 3.404" Properties=species:S:1:pos:R:3 comment="ScInCl2 | Alexandria via LeMat-Bulk | meta-GGA SCAN | PBEsol geometry" magnetic_moment_mub_per_fu=1.83 e_above_lowest_polymorph_mev_per_atom=557 energy_ev_per_atom=-16.64 raw_formation_energy_kcal_per_mol_atoms=-17.3 pbc="T T T"
Sc 0.000 0.000 0.000
In 2.514 2.514 0.000
Cl 0.000 2.514 1.702
Cl 2.514 0.000 1.702